A plane-wave DFT calculation with PBE-GGA was carried out for an optimized crystal structure of La2CePr.

Cell lengths 5.174, 5.174, 5.148 Å; angles 90.00, 90.00, 90.00 degrees
Space group P4/mmm (No. 123)
Asymmetric unit:
1 La 0.000 0.500 0.000 [2 per cell]
2 Ce 0.000 0.000 0.500 [1 per cell]
3 Pr 0.500 0.500 0.500 [1 per cell]

E   -20.27 eV per cell
DFT formation energy   1.71 kcal/mol of atoms

***

A plane-wave DFT calculation with PBE-GGA was carried out for an optimized crystal structure of Fe2OsSe.

Cell lengths 2.803, 3.766, 5.193 Å; angles 90.00, 96.24, 90.00 degrees
Space group P2/m (No. 10)
Asymmetric unit:
1 Fe 0.050 0.000 0.235 [2 per cell]
2 Os 0.500 0.500 0.000 [1 per cell]
3 Se 0.500 0.500 0.500 [1 per cell]

Formation energy from raw total energies   0.441 eV per atom
E   -29.87 eV per cell

***

A plane-wave DFT calculation with PBE-GGA was carried out for an optimized crystal structure of B3RuSe.

Cell lengths 4.135, 4.135, 4.135 Å; angles 90.00, 90.00, 90.00 degrees
Space group Pm-3m (No. 221)
Asymmetric unit:
1 B 0.000 0.000 0.500 [3 per cell]
2 Ru 0.000 0.000 0.000 [1 per cell]
3 Se 0.500 0.500 0.500 [1 per cell]

Formation energy from raw total energies   1.335 eV per atom
E   -26.12 eV per cell